VASP calculation (PBE) on an optimized crystal structure of Sc2VPd2.

Results
**Volume**: 18.304 A^3/atom
**Total energy**: -67.6 eV per cell
**Formation energy**: -1.628 eV per formula unit
**D(E_F)**: 0.558 states/eV/atom
**ρ**: 6.4 g/cm³

Cell lengths 7.772, 7.772, 3.030 Å; angles 90.00, 90.00, 90.00 degrees
Space group P4/mbm (No. 127)
Unique sites:
Sc 0.155 0.345 0.000 [4 per cell]
V 0.000 0.000 0.000 [2 per cell]
Pd 0.143 0.643 0.500 [4 per cell]